A PBEsol-optimized structure of SbMoOF9. Source: Alexandria, functional meta-GGA SCAN.

Total DFT energy (no corrections) (eV per formula unit): -139.5
Space group: P2_1/c, No. 14
ΔE_f (raw) (eV per atom): -2.4353
N(E_F) (states/eV/atom): 0.0000

a = 7.383 Å, b = 9.614 Å, c = 10.481 Å
α = 90.00°, β = 90.00°, γ = 92.76°
Positions (direct):
F  0.958  0.649  0.396
F  0.290  0.504  0.477
F  0.383  0.278  0.349
F  0.396  0.279  0.612
F  0.681  0.330  0.753
F  0.617  0.722  0.651
F  0.458  0.149  0.104
F  0.364  0.374  0.978
Sb  0.718  0.814  0.020
F  0.031  0.354  0.346
Mo  0.366  0.842  0.315
F  0.883  0.778  0.151
Mo  0.866  0.342  0.185
F  0.469  0.146  0.846
F  0.864  0.874  0.522
Sb  0.282  0.186  0.980
F  0.529  0.982  0.362
Sb  0.782  0.686  0.520
F  0.604  0.721  0.388
Mo  0.134  0.658  0.815
F  0.896  0.779  0.888
O  0.705  0.431  0.248
F  0.971  0.518  0.862
F  0.181  0.830  0.747
O  0.205  0.931  0.252
F  0.969  0.646  0.654
F  0.222  0.691  0.973
F  0.319  0.670  0.247
F  0.722  0.191  0.527
F  0.531  0.854  0.154
F  0.790  0.004  0.023
F  0.819  0.170  0.253
F  0.042  0.351  0.604
F  0.104  0.221  0.112
Sb  0.218  0.314  0.480
F  0.710  0.496  0.523
F  0.029  0.482  0.138
O  0.295  0.569  0.752
F  0.278  0.809  0.473
Mo  0.634  0.158  0.685
F  0.136  0.126  0.478
F  0.117  0.222  0.849
F  0.471  0.018  0.638
F  0.636  0.626  0.022
F  0.542  0.851  0.896
F  0.210  0.996  0.977
F  0.778  0.309  0.027
O  0.795  0.069  0.748